The following is a PBE-GGA calculation of a geometry-optimized CeGe2POs2 structure, from the Alexandria database.

Summary:
The crystal system is tetragonal. The calculated formation energy is -0.10 eV/atom. The space group is P4/mmm (123).

a b c (Å): 4.4844 4.4844 5.5421
angles (deg): 90.00 90.00 90.00
Sites, in units of the cell vectors:
Ge  0.5000  0.5000  0.2749
Os  0.0000  0.5000  0.0000
Ce  0.0000  0.0000  0.5000
P  0.0000  0.0000  0.0000
Ge  0.5000  0.5000  0.7251
Os  0.5000  0.0000  0.0000